## MgZr2TlZn (PBE)

Data for MgZr2TlZn after structural relaxation.

abc: 5.1430 5.1430 4.6502
angles: 90.00 90.00 90.00
Atoms (fractional coordinates):
Mg (0.0000, 0.0000, 0.0000)
Zr (0.0000, 0.5000, 0.0000)
Zr (0.5000, 0.0000, 0.0000)
Tl (0.5000, 0.5000, 0.5000)
Zn (0.0000, 0.0000, 0.5000)

Properties
Total magnetization: 0.00 μB per formula unit
V: 24.60 A^3/atom
SG: P4/mmm (123)
Energy of formation: 0.8163 eV per atom